Entry 1:
Material: Nd4PdO7
Method: DFT, PBE
State: relaxed

Cell and atoms, written as POSCAR:
```
Nd4PdO7
1.0
6.923 0.000 0.000
0.804 7.158 0.000
2.457 2.453 7.157
Nd Pd O
8 2 14
direct
0.146 0.357 0.357
0.168 0.336 0.877
0.277 0.893 0.712
0.290 0.897 0.228
0.710 0.103 0.772
0.723 0.107 0.288
0.832 0.664 0.123
0.854 0.643 0.643
0.500 0.500 0.000
0.500 0.500 0.500
0.033 0.252 0.678
0.070 0.172 0.198
0.205 0.588 0.009
0.232 0.641 0.579
0.345 0.043 0.902
0.356 0.085 0.397
0.448 0.567 0.243
0.552 0.433 0.757
0.644 0.915 0.603
0.655 0.957 0.098
0.768 0.359 0.421
0.795 0.412 0.991
0.930 0.828 0.802
0.967 0.748 0.322
```

Computed properties:
As for the electronic total energy: -7.783 eV per atom.


Entry 2:
Material: Nd4CI3Cl2
Method: DFT, PBE
State: relaxed

Cell and atoms, written as POSCAR:
```
Nd4CI3Cl2
1.0
9.476 -2.015 0.000
9.476 2.015 0.000
-1.760 0.000 8.604
Nd C I Cl
4 1 3 2
direct
0.001 0.001 0.304
0.364 0.364 0.430
0.636 0.636 0.570
0.999 0.999 0.696
0.500 0.500 0.500
0.173 0.173 0.314
0.500 0.500 0.000
0.827 0.827 0.686
0.151 0.151 0.802
0.849 0.849 0.198
```

Computed properties:
As for the electronic total energy: -5.013 eV per atom.